A plane-wave DFT calculation with PBE was carried out for a relaxed MnBeCd2 crystal.

DFT total energy   -13.243 eV for the cell shown

```
4
Lattice="-2.251 2.957 -1.974 0.191 -2.237 -3.559 -3.112 -1.747 0.930" Properties=species:S:1:pos:R:3 pbc="T T T"
Cd 0.000 0.000 0.000
Mn -2.682 0.605 -0.522
Be -1.461 -1.992 -1.314
Cd -1.030 0.360 -2.767
```

=====

A plane-wave DFT calculation with PBE was carried out for a relaxed Mn2BeCd crystal.

Energy relative to the lowest polymorph listed for this composition   0.204 eV/atom
DFT total energy   -21.579 eV for the cell shown

```
4
Lattice="5.026 0.019 0.009 4.149 2.837 0.009 1.881 0.585 3.882" Properties=species:S:1:pos:R:3 pbc="T T T"
Mn 8.945 2.784 0.139
Cd 8.292 2.581 2.925
Mn 5.758 1.792 1.829
Be 2.764 0.860 0.975
```

=====

A plane-wave DFT calculation with PBE was carried out for a relaxed MnBeCd2 crystal.

DFT total energy   -13.073 eV for the cell shown

```
4
Lattice="-2.943 4.248 -1.706 -3.054 2.176 -3.944 -4.460 -0.495 0.680" Properties=species:S:1:pos:R:3 pbc="T T T"
Be -7.843 4.446 -3.728
Cd -5.165 2.701 -2.245
Cd -4.524 -0.232 0.439
Mn -2.614 1.482 -1.243
```

=====

A plane-wave DFT calculation with PBE was carried out for a relaxed MnBe2Cd crystal.

DFT total energy   -16.128 eV for the cell shown

```
4
Lattice="4.161 -0.058 0.038 3.336 2.488 0.038 0.633 0.205 4.957" Properties=species:S:1:pos:R:3 pbc="T T T"
Mn 2.032 0.659 1.258
Cd 6.097 1.976 3.775
Be 4.077 1.322 2.129
Be 7.484 2.426 0.464
```

=====

A plane-wave DFT calculation with PBE was carried out for a relaxed Mn4BeCd crystal.

DFT total energy   -38.428 eV for the cell shown

```
6
Lattice="0.000 3.338 3.338 3.338 0.000 3.338 3.338 3.338 0.000" Properties=species:S:1:pos:R:3 pbc="T T T"
Mn 2.509 2.509 2.509
Be 5.007 5.007 5.007
Mn 4.167 4.167 2.509
Mn 2.509 4.167 4.167
Cd 0.000 0.000 0.000
Mn 4.167 2.509 4.167
```

=====

A plane-wave DFT calculation with PBE was carried out for a relaxed Mn2BeCd crystal.

Energy relative to the lowest polymorph listed for this composition   0.246 eV/atom
DFT total energy   -21.413 eV for the cell shown

```
4
Lattice="0.000 3.058 3.058 3.058 0.000 3.058 3.058 3.058 0.000" Properties=species:S:1:pos:R:3 pbc="T T T"
Mn 4.587 4.587 4.587
Mn 1.529 1.529 1.529
Cd 3.058 3.058 3.058
Be 0.000 0.000 0.000
```

=====

A plane-wave DFT calculation with PBE was carried out for a relaxed MnBe2Cd crystal.

DFT total energy   -16.230 eV for the cell shown

```
4
Lattice="4.664 -0.034 0.007 3.897 2.562 0.007 1.284 0.379 4.117" Properties=species:S:1:pos:R:3 pbc="T T T"
Mn 2.542 0.751 0.780
Be 0.220 0.065 0.097
Cd 4.846 1.431 2.246
Be 7.160 2.114 3.072
```

=====

A plane-wave DFT calculation with PBE was carried out for a relaxed MnBe2Cd crystal.

DFT total energy   -16.493 eV for the cell shown

```
4
Lattice="-0.984 3.879 0.149 -0.717 -0.333 3.926 2.918 0.717 0.594" Properties=species:S:1:pos:R:3 pbc="T T T"
Cd 0.967 2.298 0.372
Mn 1.100 0.192 2.260
Be 0.000 0.000 0.000
Be -0.851 1.773 2.038
```

=====

A plane-wave DFT calculation with PBE was carried out for a relaxed MnBe2Cd crystal.

DFT total energy   -15.855 eV for the cell shown

```
4
Lattice="8.645 0.025 0.015 8.229 2.650 0.015 8.229 1.304 2.306" Properties=species:S:1:pos:R:3 pbc="T T T"
Cd 6.275 0.995 0.584
Be 12.177 1.930 1.133
Mn 18.826 2.985 1.752
Be 0.374 0.059 0.035
```

=====

A plane-wave DFT calculation with PBE was carried out for a relaxed MnBe2Cd crystal.

DFT total energy   -15.675 eV for the cell shown

```
4
Lattice="-3.921 -2.819 -0.088 0.226 -3.718 3.075 -0.019 4.811 -0.425" Properties=species:S:1:pos:R:3 pbc="T T T"
Be -1.786 -3.160 1.444
Cd -2.893 -0.638 0.490
Mn -0.820 -1.088 2.071
Be -0.061 -0.109 0.050
```

=====

A plane-wave DFT calculation with PBE was carried out for a relaxed Mn2BeCd crystal.

Energy relative to the lowest polymorph listed for this composition   0.178 eV/atom
DFT total energy   -21.684 eV for the cell shown

```
4
Lattice="-3.216 -0.231 2.856 -2.199 -2.685 2.552 2.771 0.632 4.161" Properties=species:S:1:pos:R:3 pbc="T T T"
Mn -5.188 -2.853 5.663
Cd -2.045 -1.730 7.109
Mn -0.661 -0.562 2.325
Be -1.487 -1.196 4.665
```

=====

A plane-wave DFT calculation with PBE was carried out for a relaxed MnBeCd2 crystal.

DFT total energy   -12.837 eV for the cell shown

```
4
Lattice="-3.893 2.102 7.767 -1.914 0.099 8.731 -1.101 2.939 8.370" Properties=species:S:1:pos:R:3 pbc="T T T"
Mn -1.727 1.285 6.217
Cd -0.042 0.031 0.151
Cd -3.412 2.538 12.282
Be -5.181 3.855 18.650
```

=====

A plane-wave DFT calculation with PBE was carried out for a relaxed MnBeCd crystal.

Energy relative to the lowest polymorph listed for this composition   0.199 eV/atom
DFT total energy   -12.497 eV for the cell shown

```
3
Lattice="-3.017 2.440 -1.148 -3.819 -1.333 0.074 -2.594 1.442 2.751" Properties=species:S:1:pos:R:3 pbc="T T T"
Mn -4.715 1.274 0.838
Cd 0.000 0.000 0.000
Be -7.072 1.911 1.257
```

=====

A plane-wave DFT calculation with PBE was carried out for a relaxed Mn2BeCd crystal.

Energy relative to the lowest polymorph listed for this composition   0.234 eV/atom
DFT total energy   -21.460 eV for the cell shown

```
4
Lattice="-4.719 1.409 1.481 -3.713 0.134 -3.556 3.471 -2.808 2.554" Properties=species:S:1:pos:R:3 pbc="T T T"
Cd -2.439 -0.913 -1.071
Mn -8.363 1.530 -2.057
Be -4.297 0.786 -1.057
Mn -2.513 -0.354 1.553
```

=====

A plane-wave DFT calculation with PBE was carried out for a relaxed MnBe3Cd crystal.

Energy relative to the lowest polymorph listed for this composition   0.337 eV/atom
DFT total energy   -15.121 eV for the cell shown

```
5
Lattice="-4.189 0.944 -0.747 0.419 -1.389 -4.110 -1.128 -4.022 1.244" Properties=species:S:1:pos:R:3 pbc="T T T"
Be 0.210 -0.695 -2.055
Cd 0.000 0.000 0.000
Be -2.095 0.472 -0.373
Mn -2.449 -2.234 -1.806
Be -0.564 -2.011 0.622
```

=====

A plane-wave DFT calculation with PBE was carried out for a relaxed MnBeCd2 crystal.

DFT total energy   -13.099 eV for the cell shown

```
4
Lattice="-2.421 2.000 3.741 -4.727 -1.079 -0.583 3.939 -2.887 -0.045" Properties=species:S:1:pos:R:3 pbc="T T T"
Cd -2.181 -1.753 0.475
Be -1.028 -0.213 2.637
Mn -3.574 0.460 1.579
Cd 0.000 0.000 0.000
```

=====

A plane-wave DFT calculation with PBE was carried out for a relaxed Mn2BeCd crystal.

Energy relative to the lowest polymorph listed for this composition   0.042 eV/atom
DFT total energy   -22.225 eV for the cell shown

```
4
Lattice="2.790 0.000 0.000 0.000 2.781 0.007 0.000 2.763 7.052" Properties=species:S:1:pos:R:3 pbc="T T T"
Be 1.395 1.386 1.765
Mn 0.000 2.778 0.397
Cd 1.395 4.158 5.294
Mn 0.000 2.774 3.140
```

=====

A plane-wave DFT calculation with PBE was carried out for a relaxed MnBe2Cd crystal.

DFT total energy   -16.634 eV for the cell shown

```
4
Lattice="-1.094 -1.300 -2.175 -2.048 -0.941 1.593 -3.508 5.279 -1.392" Properties=species:S:1:pos:R:3 pbc="T T T"
Mn -4.419 3.164 -1.421
Cd -1.685 2.535 -0.668
Be -2.230 -0.130 -0.552
Be -0.071 0.107 -0.028
```

=====

A plane-wave DFT calculation with PBE was carried out for a relaxed MnBeCd2 crystal.

DFT total energy   -13.898 eV for the cell shown

```
4
Lattice="-1.255 -1.360 2.254 -0.073 -2.479 -1.536 6.716 -1.830 2.635" Properties=species:S:1:pos:R:3 pbc="T T T"
Cd 1.225 -2.434 1.101
Mn 3.710 -1.011 1.456
Cd 6.407 -1.746 2.514
Be 4.120 -3.223 2.236
```

=====

A plane-wave DFT calculation with PBE was carried out for a relaxed MnBe2Cd crystal.

DFT total energy   -16.164 eV for the cell shown

```
4
Lattice="4.921 0.000 -0.007 2.427 4.280 0.007 -3.241 -2.884 2.322" Properties=species:S:1:pos:R:3 pbc="T T T"
Cd 3.745 2.182 0.000
Be 2.837 -0.278 1.158
Be 7.249 4.223 0.000
Mn 1.297 1.691 1.165
```

=====

A plane-wave DFT calculation with PBE was carried out for a relaxed MnBeCd2 crystal.

DFT total energy   -13.127 eV for the cell shown

```
4
Lattice="-3.202 -1.308 2.927 0.916 -3.192 3.082 0.343 1.112 4.379" Properties=species:S:1:pos:R:3 pbc="T T T"
Cd -1.457 -2.541 7.791
Cd 0.000 0.000 0.000
Be -0.972 -1.694 5.194
Mn -0.486 -0.847 2.597
```

=====

A plane-wave DFT calculation with PBE was carried out for a relaxed MnBeCd3 crystal.

Energy relative to the lowest polymorph listed for this composition   0.526 eV/atom
DFT total energy   -10.269 eV for the cell shown

```
5
Lattice="-1.394 -1.417 -4.741 4.147 -3.023 -0.316 -2.701 -3.910 1.963" Properties=species:S:1:pos:R:3 pbc="T T T"
Cd -1.350 -1.955 0.982
Cd -0.697 -0.709 -2.371
Mn 0.000 0.000 0.000
Cd 2.073 -1.512 -0.158
Be 0.026 -4.175 -1.547
```

=====

A plane-wave DFT calculation with PBE was carried out for a relaxed MnBe2Cd crystal.

DFT total energy   -16.574 eV for the cell shown

```
4
Lattice="3.746 0.000 0.000 0.000 2.744 0.002 0.000 1.369 4.821" Properties=species:S:1:pos:R:3 pbc="T T T"
Be 0.000 1.883 4.747
Be 1.873 0.514 1.103
Cd 0.000 1.885 2.231
Mn 1.873 3.257 3.974
```

=====

A plane-wave DFT calculation with PBE was carried out for a relaxed Mn2BeCd crystal.

Energy relative to the lowest polymorph listed for this composition   0.246 eV/atom
DFT total energy   -21.410 eV for the cell shown

```
4
Lattice="-3.003 3.416 0.610 -0.966 -1.965 -4.033 -1.771 -1.788 1.295" Properties=species:S:1:pos:R:3 pbc="T T T"
Be -2.387 0.814 0.953
Mn -1.985 0.725 -1.711
Mn 0.000 0.000 0.000
Cd -1.369 -1.877 -1.369
```

=====

A plane-wave DFT calculation with PBE was carried out for a relaxed MnBeCd crystal.

Energy relative to the lowest polymorph listed for this composition   0.122 eV/atom
DFT total energy   -12.730 eV for the cell shown

```
3
Lattice="4.231 0.000 0.000 -2.115 3.664 0.000 0.000 0.000 2.809" Properties=species:S:1:pos:R:3 pbc="T T T"
Be 0.000 0.000 0.468
Cd 0.000 2.443 0.468
Mn 2.116 1.221 1.873
```

=====

A plane-wave DFT calculation with PBE was carried out for a relaxed Mn2BeCd crystal.

Energy relative to the lowest polymorph listed for this composition   0.210 eV/atom
DFT total energy   -21.556 eV for the cell shown

```
4
Lattice="-3.423 -1.729 2.625 1.940 -2.141 3.640 0.652 4.272 -1.710" Properties=species:S:1:pos:R:3 pbc="T T T"
Mn -0.741 -1.935 3.132
Be 0.925 0.098 2.531
Cd -1.756 0.304 2.024
Mn 0.000 0.000 0.000
```

=====

A plane-wave DFT calculation with PBE was carried out for a relaxed Mn2BeCd crystal.

Energy relative to the lowest polymorph listed for this composition   0.000 eV/atom
DFT total energy   -22.395 eV for the cell shown

```
4
Lattice="-0.334 -0.132 2.790 0.220 -2.803 -0.106 6.310 0.467 0.777" Properties=species:S:1:pos:R:3 pbc="T T T"
Cd 4.596 -1.123 1.915
Mn 1.556 -1.348 1.541
Mn 0.371 0.027 0.046
Be 2.827 0.209 0.348
```

=====

A plane-wave DFT calculation with PBE was carried out for a relaxed Mn2BeCd crystal.

Energy relative to the lowest polymorph listed for this composition   0.201 eV/atom
DFT total energy   -21.592 eV for the cell shown

```
4
Lattice="-3.167 -1.943 7.651 -0.499 -2.710 8.047 -1.258 -0.035 8.412" Properties=species:S:1:pos:R:3 pbc="T T T"
Cd -3.693 -3.516 18.082
Mn -4.849 -4.617 23.744
Be -1.231 -1.172 6.027
Mn -2.537 -2.415 12.420
```

=====

A plane-wave DFT calculation with PBE was carried out for a relaxed Mn2BeCd crystal.

Energy relative to the lowest polymorph listed for this composition   0.144 eV/atom
DFT total energy   -21.821 eV for the cell shown

```
4
Lattice="4.266 0.000 0.000 2.133 3.695 0.000 2.133 1.232 3.483" Properties=species:S:1:pos:R:3 pbc="T T T"
Mn 2.133 1.232 0.871
Mn 0.000 0.000 0.000
Be 4.266 2.463 1.742
Cd 6.400 3.695 2.613
```

=====

A plane-wave DFT calculation with PBE was carried out for a relaxed MnBe2Cd crystal.

DFT total energy   -28.618 eV for the cell shown

```
8
Lattice="-1.338 -3.488 0.456 -0.113 -0.445 -3.735 6.615 -4.768 -1.527" Properties=species:S:1:pos:R:3 pbc="T T T"
Cd 2.276 -5.111 -1.355
Be 1.273 -2.279 -2.610
Mn -0.725 -1.966 -1.640
Be 3.704 -6.969 -3.615
Cd 0.000 0.000 0.000
Mn 2.889 -3.590 -3.451
Be 4.405 -5.098 -2.775
Be 0.947 -3.054 -0.612
```